Here is a geometry-optimized CeFe2Si2C structure from Alexandria via LeMat-Bulk. Energies are from PBE.

## Properties
For the uncorrected formation energy, the calculation gives -247.9 kJ/mol of formula units. The total energy is -45.498 eV per cell.

a b c (Å): 3.932 3.932 5.186
angles (deg): 90.00 90.00 90.00
Last column: magnetic moment on the atom in μB.
Element x y z (fractional)
Ce 0.000 0.000 0.500  0.13
C 0.000 0.000 0.000  -0.02
Fe 0.000 0.500 0.000  1.04
Fe 0.500 0.000 0.000  1.04
Si 0.500 0.500 0.268  -0.01
Si 0.500 0.500 0.732  -0.01

***

Here is a geometry-optimized CeTaFeC3 structure from Alexandria via LeMat-Bulk. Energies are from PBE.

## Properties
The formation energy is -11 kJ/mol of atoms. The total energy is -109.269 eV per cell.

a b c (Å): 3.283 6.968 7.366
angles (deg): 103.94 90.00 90.00
Element x y z (fractional)
Fe 0.750 0.908 0.395
Fe 0.250 0.092 0.605
C 0.750 0.436 0.155
C 0.750 0.176 0.535
C 0.750 0.876 0.139
C 0.250 0.564 0.845
C 0.250 0.124 0.861
C 0.250 0.824 0.465
Ta 0.250 0.653 0.145
Ta 0.750 0.347 0.855
Ce 0.750 0.814 0.797
Ce 0.250 0.186 0.203

***

Here is a geometry-optimized CeTa2FeC4 structure from Alexandria via LeMat-Bulk. Energies are from PBE.

## Properties
The formation energy is -34 kJ/mol of atoms. The total energy is -155.689 eV per cell.

a b c (Å): 3.238 5.760 10.816
angles (deg): 90.00 90.00 106.32
Element x y z (fractional)
C 0.266 0.532 0.117
C 0.578 0.156 0.250
C 0.734 0.468 0.883
C 0.734 0.468 0.617
C 0.000 0.000 0.000
C 0.266 0.532 0.383
C 0.422 0.844 0.750
C 0.000 0.000 0.500
Fe 0.165 0.330 0.250
Fe 0.835 0.670 0.750
Ta 0.370 0.739 0.546
Ta 0.630 0.261 0.454
Ta 0.370 0.739 0.954
Ta 0.630 0.261 0.046
Ce 0.901 0.802 0.250
Ce 0.099 0.198 0.750

***

Here is a geometry-optimized TbCeFeC structure from Alexandria via LeMat-Bulk. Energies are from PBE.

## Properties
The formation energy is 15 kJ/mol of atoms. The total energy is -55.262 eV per cell.

a b c (Å): 3.643 3.643 11.045
angles (deg): 90.00 90.00 90.00
Element x y z (fractional)
Tb 0.750 0.750 0.198
Tb 0.250 0.250 0.802
Fe 0.250 0.750 0.000
Fe 0.750 0.250 0.000
C 0.250 0.250 0.076
C 0.750 0.750 0.924
Ce 0.750 0.250 0.500
Ce 0.250 0.750 0.500

***

Here is a geometry-optimized CeTh2FeC2 structure from Alexandria via LeMat-Bulk. Energies are from PBE.

## Properties
The formation energy is -11 kJ/mol of atoms. The total energy is -96.765 eV per cell.

a b c (Å): 3.703 5.759 11.250
angles (deg): 90.00 90.00 90.00
Last column: magnetic moment on the atom in μB.
Element x y z (fractional)
Fe 0.500 0.500 0.500  1.58
Fe 0.000 0.000 0.000  1.58
Th 0.000 0.515 0.294  -0.05
Th 0.500 0.985 0.794  -0.05
Th 0.000 0.485 0.706  -0.05
Th 0.500 0.015 0.206  -0.05
C 0.000 0.740 0.892  0.01
C 0.500 0.240 0.608  0.01
C 0.500 0.760 0.392  0.01
C 0.000 0.260 0.108  0.01
Ce 0.000 0.000 0.500  0.23
Ce 0.500 0.500 0.000  0.23

***

Here is a geometry-optimized CeU2FeC4 structure from Alexandria via LeMat-Bulk. Energies are from PBE.

## Properties
The formation energy is -11 kJ/mol of atoms. The total energy is -149.556 eV per cell.

a b c (Å): 3.484 5.954 11.512
angles (deg): 90.00 90.00 107.01
Element x y z (fractional)
C 0.568 0.136 0.250
C 0.432 0.864 0.750
C 0.000 0.000 0.000
C 0.740 0.480 0.879
C 0.260 0.520 0.121
C 0.740 0.480 0.621
C 0.260 0.520 0.379
C 0.000 0.000 0.500
U 0.632 0.263 0.052
U 0.368 0.737 0.552
U 0.632 0.263 0.448
U 0.368 0.737 0.948
Ce 0.900 0.800 0.250
Ce 0.100 0.200 0.750
Fe 0.160 0.319 0.250
Fe 0.840 0.681 0.750

***

Here is a geometry-optimized CeFeW2C4 structure from Alexandria via LeMat-Bulk. Energies are from PBE.

## Properties
The formation energy is -2 kJ/mol of atoms. The total energy is -154.772 eV per cell.

a b c (Å): 3.208 5.653 10.627
angles (deg): 90.00 90.00 106.48
Element x y z (fractional)
C 0.000 0.000 0.000
C 0.733 0.465 0.885
C 0.267 0.535 0.115
C 0.733 0.465 0.615
C 0.267 0.535 0.385
C 0.000 0.000 0.500
C 0.427 0.854 0.750
C 0.573 0.146 0.250
W 0.628 0.256 0.456
W 0.372 0.744 0.956
W 0.372 0.744 0.544
W 0.628 0.256 0.044
Ce 0.900 0.801 0.250
Ce 0.100 0.199 0.750
Fe 0.837 0.674 0.750
Fe 0.163 0.326 0.250

***

Here is a geometry-optimized CeZnFeC structure from Alexandria via LeMat-Bulk. Energies are from PBE.

## Properties
The formation energy is -13 kJ/mol of atoms. The total energy is -50.864 eV per cell.

a b c (Å): 3.481 3.481 10.448
angles (deg): 90.00 90.00 90.00
Last column: magnetic moment on the atom in μB.
Element x y z (fractional)
Zn 0.250 0.750 0.500  0.01
Zn 0.750 0.250 0.500  0.01
Ce 0.250 0.250 0.783  0.48
Ce 0.750 0.750 0.217  0.48
Fe 0.250 0.750 0.000  -0.06
Fe 0.750 0.250 0.000  -0.06
C 0.750 0.750 0.909  -0.01
C 0.250 0.250 0.091  -0.01